Entry from the Alexandria database: an optimized crystal structure of LiCrP2 (PBE).

Calculated values
The calculation puts the energy above the most stable polymorph in this dataset at 572.3 meV per atom. Its formation energy is 0.189 eV per atom. The density of states at the Fermi level comes out at 0.708 states/eV/atom.

Lattice parameters (Å, degrees): 2.445 2.445 9.800 90.00 90.00 90.00
Space group P4mm (No. 99)
Symmetry-distinct sites (fractional):
Li: 0.000 0.000 0.000 (multiplicity 1)
Cr: 0.500 0.500 0.763 (multiplicity 1)
P: 0.000 0.000 0.579 (multiplicity 1)
P: 0.500 0.500 0.205 (multiplicity 1)